Computed, not measured: an optimized crystal structure of Na3Sm2US6 at the PBE level of DFT.

a = 7.017 Å, b = 7.017 Å, c = 7.099 Å
α = 99.48°, β = 99.48°, γ = 119.99°
Element x y z (fractional)
Na 0.000 0.000 0.000
Na 0.332 0.668 0.000
Na 0.668 0.332 0.000
Sm 0.167 0.833 0.500
Sm 0.833 0.167 0.500
U 0.500 0.500 0.500
S 0.095 0.423 0.269
S 0.249 0.249 0.731
S 0.423 0.095 0.269
S 0.577 0.905 0.731
S 0.751 0.751 0.269
S 0.905 0.577 0.731

Its space-group type is C2/m. As for the uncorrected formation energy: -19.6 eV/f.u. As for the crystal system: monoclinic. As for the density of states at the Fermi level: 10.0 states/eV/f.u.

---

Computed, not measured: an optimized crystal structure of Na3Sm3US8 at the PBE level of DFT.

a = 8.198 Å, b = 8.198 Å, c = 8.198 Å
α = 59.52°, β = 59.52°, γ = 59.52°
Element x y z (fractional)
Na 0.000 0.500 0.500
Na 0.500 0.000 0.500
Na 0.500 0.500 0.000
Sm 0.000 0.000 0.500
Sm 0.000 0.500 0.000
Sm 0.500 0.000 0.000
U 0.500 0.500 0.500
S 0.244 0.244 0.244
S 0.252 0.734 0.734
S 0.266 0.266 0.748
S 0.266 0.748 0.266
S 0.734 0.252 0.734
S 0.734 0.734 0.252
S 0.748 0.266 0.266
S 0.756 0.756 0.756

Its space-group type is R-3m. As for the uncorrected formation energy: -25.7 eV/f.u. As for the crystal system: trigonal. As for the density of states at the Fermi level: 6.0 states/eV/f.u.

---

Computed, not measured: an optimized crystal structure of Na3SmU3S8 at the PBE level of DFT.

a = 8.164 Å, b = 8.164 Å, c = 8.164 Å
α = 58.65°, β = 58.65°, γ = 58.65°
Element x y z (fractional)
Na 0.000 0.500 0.500
Na 0.500 0.000 0.500
Na 0.500 0.500 0.000
Sm 0.500 0.500 0.500
U 0.000 0.000 0.500
U 0.000 0.500 0.000
U 0.500 0.000 0.000
S 0.235 0.745 0.745
S 0.243 0.243 0.243
S 0.255 0.255 0.765
S 0.255 0.765 0.255
S 0.745 0.235 0.745
S 0.745 0.745 0.235
S 0.757 0.757 0.757
S 0.765 0.255 0.255

Its space-group type is R-3m. As for the uncorrected formation energy: -22.0 eV/f.u. As for the crystal system: trigonal. As for the density of states at the Fermi level: 13.3 states/eV/f.u.

---

Computed, not measured: an optimized crystal structure of Na2Sm2US6 at the PBE level of DFT.

a = 7.024 Å, b = 7.024 Å, c = 7.101 Å
α = 99.46°, β = 99.46°, γ = 119.74°
Element x y z (fractional)
Na 0.169 0.831 0.000
Na 0.831 0.169 0.000
Sm 0.334 0.666 0.500
Sm 0.666 0.334 0.500
U 0.000 0.000 0.500
S 0.069 0.397 0.722
S 0.244 0.244 0.278
S 0.397 0.069 0.722
S 0.603 0.931 0.278
S 0.756 0.756 0.722
S 0.931 0.603 0.278

Its space-group type is C2/m. As for the uncorrected formation energy: -18.4 eV/f.u. As for the crystal system: monoclinic. As for the density of states at the Fermi level: 6.3 states/eV/f.u.

---

Computed, not measured: an optimized crystal structure of Na2SmUS6 at the PBE level of DFT.

a = 6.945 Å, b = 7.405 Å, c = 11.928 Å
α = 90.00°, β = 124.54°, γ = 90.00°
Element x y z (fractional)
Na 0.217 0.077 0.245
Na 0.217 0.423 0.745
Na 0.783 0.577 0.255
Na 0.783 0.923 0.755
Sm 0.000 0.000 0.500
Sm 0.000 0.500 0.000
U 0.500 0.000 0.000
U 0.500 0.500 0.500
S 0.145 0.194 0.933
S 0.145 0.306 0.433
S 0.242 0.716 0.926
S 0.242 0.784 0.426
S 0.397 0.043 0.762
S 0.397 0.457 0.262
S 0.603 0.543 0.738
S 0.603 0.957 0.238
S 0.758 0.216 0.574
S 0.758 0.284 0.074
S 0.855 0.694 0.567
S 0.855 0.806 0.067

Its space-group type is P2_1/c. As for the uncorrected formation energy: -12.1 eV/f.u. As for the crystal system: monoclinic. As for the density of states at the Fermi level: 9.7 states/eV/f.u.

---

Computed, not measured: an optimized crystal structure of Na4Sm3YS8 at the PBE level of DFT.

a = 8.167 Å, b = 8.167 Å, c = 8.167 Å
α = 59.56°, β = 59.56°, γ = 59.56°
Element x y z (fractional)
Na 0.000 0.000 0.000
Na 0.000 0.500 0.500
Na 0.500 0.000 0.500
Na 0.500 0.500 0.000
Sm 0.000 0.000 0.500
Sm 0.000 0.500 0.000
Sm 0.500 0.000 0.000
Y 0.500 0.500 0.500
S 0.244 0.244 0.244
S 0.248 0.741 0.741
S 0.259 0.259 0.752
S 0.259 0.752 0.259
S 0.741 0.248 0.741
S 0.741 0.741 0.248
S 0.752 0.259 0.259
S 0.756 0.756 0.756

Its space-group type is R-3m. As for the uncorrected formation energy: -29.2 eV/f.u. As for the crystal system: trigonal. As for the density of states at the Fermi level: 0.0 states/eV/f.u.

---

Computed, not measured: an optimized crystal structure of NaSm3Y2S6 at the PBE level of DFT.

a = 6.877 Å, b = 6.877 Å, c = 6.916 Å
α = 99.57°, β = 99.57°, γ = 120.09°
Element x y z (fractional)
Na 0.000 0.000 0.000
Sm 0.163 0.837 0.500
Sm 0.500 0.500 0.500
Sm 0.837 0.163 0.500
Y 0.334 0.666 0.000
Y 0.666 0.334 0.000
S 0.081 0.417 0.245
S 0.254 0.254 0.761
S 0.417 0.081 0.245
S 0.583 0.919 0.755
S 0.746 0.746 0.239
S 0.919 0.583 0.755

Its space-group type is C2/m. As for the uncorrected formation energy: -23.4 eV/f.u. As for the crystal system: monoclinic. As for the density of states at the Fermi level: 4.7 states/eV/f.u.

---

Computed, not measured: an optimized crystal structure of Na2SmYS4 at the PBE level of DFT.

a = 6.986 Å, b = 4.034 Å, c = 7.084 Å
α = 90.00°, β = 109.18°, γ = 90.00°
Element x y z (fractional)
Na 0.000 0.000 0.000
Na 0.500 0.500 0.000
Sm 0.000 0.500 0.500
Y 0.500 0.000 0.500
S 0.248 0.000 0.730
S 0.262 0.500 0.272
S 0.738 0.500 0.728
S 0.752 0.000 0.270

Its space-group type is P2/m. As for the uncorrected formation energy: -14.7 eV/f.u. As for the crystal system: monoclinic. As for the density of states at the Fermi level: 0.0 states/eV/f.u.

---

Computed, not measured: an optimized crystal structure of Na4SmY3S8 at the PBE level of DFT.

a = 8.135 Å, b = 8.135 Å, c = 8.135 Å
α = 59.09°, β = 59.09°, γ = 59.09°
Element x y z (fractional)
Na 0.000 0.000 0.000
Na 0.000 0.500 0.500
Na 0.500 0.000 0.500
Na 0.500 0.500 0.000
Sm 0.500 0.500 0.500
Y 0.000 0.000 0.500
Y 0.000 0.500 0.000
Y 0.500 0.000 0.000
S 0.238 0.745 0.745
S 0.242 0.242 0.242
S 0.255 0.255 0.762
S 0.255 0.762 0.255
S 0.745 0.238 0.745
S 0.745 0.745 0.238
S 0.758 0.758 0.758
S 0.762 0.255 0.255

Its space-group type is R-3m. As for the uncorrected formation energy: -29.5 eV/f.u. As for the crystal system: trigonal. As for the density of states at the Fermi level: 0.0 states/eV/f.u.

---

Computed, not measured: an optimized crystal structure of NaSm2YS4 at the PBE level of DFT.

a = 6.914 Å, b = 3.977 Å, c = 6.919 Å
α = 90.00°, β = 109.18°, γ = 90.00°
Element x y z (fractional)
Na 0.000 0.000 0.000
Sm 0.500 0.000 0.500
Sm 0.500 0.500 0.000
Y 0.000 0.500 0.500
S 0.243 0.000 0.746
S 0.249 0.500 0.254
S 0.751 0.500 0.746
S 0.757 0.000 0.254

Its space-group type is P2/m. As for the uncorrected formation energy: -15.3 eV/f.u. As for the crystal system: monoclinic. As for the density of states at the Fermi level: 2.6 states/eV/f.u.

---

Computed, not measured: an optimized crystal structure of Na3SmY2S6 at the PBE level of DFT.

a = 6.960 Å, b = 6.960 Å, c = 7.080 Å
α = 99.43°, β = 99.43°, γ = 120.00°
Element x y z (fractional)
Na 0.000 0.000 0.000
Na 0.333 0.667 0.000
Na 0.667 0.333 0.000
Sm 0.500 0.500 0.500
Y 0.167 0.833 0.500
Y 0.833 0.167 0.500
S 0.086 0.424 0.272
S 0.238 0.238 0.729
S 0.424 0.086 0.272
S 0.576 0.914 0.728
S 0.762 0.762 0.271
S 0.914 0.576 0.728

Its space-group type is C2/m. As for the uncorrected formation energy: -22.1 eV/f.u. As for the crystal system: monoclinic. As for the density of states at the Fermi level: 0.0 states/eV/f.u.

---

Computed, not measured: an optimized crystal structure of Na3Sm2ZrS6 at the PBE level of DFT.

a = 6.829 Å, b = 6.829 Å, c = 7.116 Å
α = 99.25°, β = 99.25°, γ = 120.01°
Element x y z (fractional)
Na 0.000 0.000 0.000
Na 0.332 0.668 0.000
Na 0.668 0.332 0.000
Sm 0.167 0.833 0.500
Sm 0.833 0.167 0.500
Zr 0.500 0.500 0.500
S 0.108 0.423 0.270
S 0.262 0.262 0.728
S 0.423 0.108 0.270
S 0.577 0.892 0.730
S 0.738 0.738 0.272
S 0.892 0.577 0.730

Its space-group type is C2/m. As for the uncorrected formation energy: -20.1 eV/f.u. As for the crystal system: monoclinic. As for the density of states at the Fermi level: 4.2 states/eV/f.u.

---

Computed, not measured: an optimized crystal structure of Na2SmZrS4 at the PBE level of DFT.

a = 6.755 Å, b = 3.861 Å, c = 7.115 Å
α = 90.00°, β = 108.21°, γ = 90.00°
Element x y z (fractional)
Na 0.000 0.000 0.000
Na 0.500 0.500 0.000
Sm 0.000 0.500 0.500
Zr 0.500 0.000 0.500
S 0.261 0.000 0.732
S 0.273 0.500 0.275
S 0.727 0.500 0.725
S 0.739 0.000 0.268

Its space-group type is P2/m. As for the uncorrected formation energy: -12.9 eV/f.u. As for the crystal system: monoclinic. As for the density of states at the Fermi level: 3.1 states/eV/f.u.

---

Computed, not measured: an optimized crystal structure of Na3SmZr2S6 at the PBE level of DFT.

a = 6.601 Å, b = 6.601 Å, c = 7.151 Å
α = 98.90°, β = 98.90°, γ = 120.04°
Element x y z (fractional)
Na 0.000 0.000 0.000
Na 0.337 0.663 0.000
Na 0.663 0.337 0.000
Sm 0.500 0.500 0.500
Zr 0.167 0.833 0.500
Zr 0.833 0.167 0.500
S 0.072 0.424 0.273
S 0.225 0.225 0.727
S 0.424 0.072 0.273
S 0.576 0.928 0.727
S 0.775 0.775 0.273
S 0.928 0.576 0.727

Its space-group type is C2/m. As for the uncorrected formation energy: -18.8 eV/f.u. As for the crystal system: monoclinic. As for the density of states at the Fermi level: 4.3 states/eV/f.u.

---

Computed, not measured: an optimized crystal structure of NaSnS2 at the PBE level of DFT.

a = 3.938 Å, b = 4.827 Å, c = 5.862 Å
α = 90.00°, β = 90.00°, γ = 90.00°
Element x y z (fractional)
Na 0.000 0.000 0.000
Sn 0.500 0.500 0.484
S 0.000 0.500 0.764
S 0.500 0.000 0.334

Its space-group type is Pmm2. As for the uncorrected formation energy: -2.7 eV/f.u. As for the crystal system: orthorhombic. As for the density of states at the Fermi level: 0.3 states/eV/f.u.

---

Computed, not measured: an optimized crystal structure of NaSnS2 at the PBE level of DFT.

a = 7.767 Å, b = 7.767 Å, c = 7.767 Å
α = 32.61°, β = 32.61°, γ = 32.61°
Element x y z (fractional)
Na 0.000 0.000 0.000
Sn 0.500 0.500 0.500
S 0.394 0.394 0.394
S 0.606 0.606 0.606

Its space-group type is R-3m. As for the uncorrected formation energy: -0.7 eV/f.u. As for the crystal system: trigonal. As for the density of states at the Fermi level: 4.4 states/eV/f.u.

---

Computed, not measured: an optimized crystal structure of Na4SnS4 at the PBE level of DFT.

a = 7.542 Å, b = 7.542 Å, c = 8.496 Å
α = 90.00°, β = 90.00°, γ = 87.68°
Element x y z (fractional)
Na 0.064 0.627 0.750
Na 0.336 0.336 0.000
Na 0.336 0.336 0.500
Na 0.373 0.936 0.750
Na 0.627 0.064 0.250
Na 0.664 0.664 0.000
Na 0.664 0.664 0.500
Na 0.936 0.373 0.250
Sn 0.169 0.831 0.250
Sn 0.831 0.169 0.750
S 0.140 0.241 0.750
S 0.241 0.140 0.250
S 0.297 0.703 0.011
S 0.297 0.703 0.489
S 0.703 0.297 0.511
S 0.703 0.297 0.989
S 0.759 0.860 0.750
S 0.860 0.759 0.250

Its space-group type is Cmcm. As for the uncorrected formation energy: -8.3 eV/f.u. As for the crystal system: orthorhombic. As for the density of states at the Fermi level: 0.0 states/eV/f.u.

---

Computed, not measured: an optimized crystal structure of NaSnS2 at the PBE level of DFT.

a = 7.375 Å, b = 7.375 Å, c = 7.375 Å
α = 30.47°, β = 30.47°, γ = 30.47°
Element x y z (fractional)
Na 0.000 0.000 0.000
Sn 0.168 0.168 0.168
S 0.577 0.577 0.577
S 0.759 0.759 0.759

Its space-group type is R3m. As for the uncorrected formation energy: -2.6 eV/f.u. As for the crystal system: trigonal. As for the density of states at the Fermi level: 2.2 states/eV/f.u.

---

Computed, not measured: an optimized crystal structure of Na3SnS at the PBE level of DFT.

a = 5.292 Å, b = 5.292 Å, c = 5.292 Å
α = 90.00°, β = 90.00°, γ = 90.00°
Element x y z (fractional)
Na 0.000 0.000 0.500
Na 0.000 0.500 0.000
Na 0.500 0.000 0.000
Sn 0.500 0.500 0.500
S 0.000 0.000 0.000

Its space-group type is Pm-3m. As for the uncorrected formation energy: -1.7 eV/f.u. As for the crystal system: cubic. As for the density of states at the Fermi level: 3.9 states/eV/f.u.

---

Computed, not measured: an optimized crystal structure of Na2Sn3S6 at the PBE level of DFT.

a = 6.646 Å, b = 6.646 Å, c = 7.249 Å
α = 98.94°, β = 98.94°, γ = 118.98°
Element x y z (fractional)
Na 0.170 0.830 0.000
Na 0.830 0.170 0.000
Sn 0.000 0.000 0.500
Sn 0.332 0.668 0.500
Sn 0.668 0.332 0.500
S 0.068 0.392 0.719
S 0.235 0.235 0.281
S 0.392 0.068 0.719
S 0.608 0.932 0.281
S 0.765 0.765 0.719
S 0.932 0.608 0.281

Its space-group type is C2/m. As for the uncorrected formation energy: -6.7 eV/f.u. As for the crystal system: monoclinic. As for the density of states at the Fermi level: 4.1 states/eV/f.u.